(1)
4
Lattice="1.924 1.111 7.532 -1.924 1.111 7.532 0.000 -2.222 7.532" Properties=species:S:1:pos:R:3 comment="TbSmCoCl, optimized geometry, DFT PBE" density_g_cm3=6.937 e_form_raw_ev_per_atom=-0.8245 total_magnetization_mub_per_fu=0.00 vol_a3_per_cell=97 pbc="T T T"
Tb 0.000 0.000 0.000
Sm 0.000 0.000 4.556
Co 0.000 0.000 13.591
Cl 0.000 0.000 9.702

(2)
12
Lattice="10.262 -1.938 0.000 10.262 1.938 0.000 -2.294 0.000 8.423" Properties=species:S:1:pos:R:3 comment="Sm6TlCo2Cl3, optimized geometry, DFT PBE" density_g_cm3=6.596 e_form_raw_ev_per_atom=-0.8327 total_magnetization_mub_per_fu=0.00 vol_a3_per_cell=335 pbc="T T T"
Sm 0.214 0.000 2.465
Sm 5.408 0.000 3.513
Sm 4.890 0.000 7.324
Sm 13.340 0.000 1.098
Sm 12.821 0.000 4.910
Sm 18.016 0.000 5.957
Tl 10.262 0.000 0.000
Co 2.762 0.000 2.968
Co 15.467 0.000 5.454
Cl 1.806 0.000 7.227
Cl 9.115 0.000 4.211
Cl 16.423 0.000 1.196

(3)
12
Lattice="3.463 -6.012 0.000 3.463 6.012 0.000 -2.306 0.000 7.414" Properties=species:S:1:pos:R:3 comment="Sm6ZnCo2Cl3, optimized geometry, DFT PBE" density_g_cm3=6.412 e_form_raw_ev_per_atom=-0.8212 total_magnetization_mub_per_fu=0.00 vol_a3_per_cell=309 pbc="T T T"
Sm -0.093 2.172 5.870
Sm 0.957 0.000 1.547
Sm -0.093 -2.172 5.870
Sm 4.712 2.172 1.543
Sm 3.662 0.000 5.867
Sm 4.712 -2.172 1.543
Zn 3.463 0.000 0.000
Co 3.463 4.010 0.000
Co 3.463 -4.010 0.000
Cl -1.153 0.000 3.707
Cl 2.309 2.020 3.707
Cl 2.309 -2.020 3.707

(4)
5
Lattice="4.958 0.000 0.000 0.000 4.958 0.000 0.000 0.000 4.958" Properties=species:S:1:pos:R:3 comment="CoSn3Cl, optimized geometry, DFT PBE" density_g_cm3=6.139 e_form_raw_ev_per_atom=-0.1534 total_magnetization_mub_per_fu=0.00 vol_a3_per_cell=122 relative_energy_mev_per_atom=0 pbc="T T T"
Co 0.000 0.000 0.000
Sn 0.000 0.000 2.479
Sn 0.000 2.479 0.000
Sn 2.479 0.000 0.000
Cl 2.479 2.479 2.479

(5)
24
Lattice="6.216 0.000 0.000 0.000 13.485 0.000 -5.772 0.000 9.114" Properties=species:S:1:pos:R:3 comment="CoSnCl4, optimized geometry, DFT PBE" density_g_cm3=2.778 e_form_raw_ev_per_atom=-0.7460 total_magnetization_mub_per_fu=3.00 vol_a3_per_cell=764 pbc="T T T"
Co -1.397 2.545 3.233
Co -4.283 4.198 7.790
Co 4.727 9.287 1.324
Co 1.841 10.940 5.881
Sn -1.543 8.163 5.982
Sn 1.343 12.064 1.425
Sn -0.899 1.421 7.689
Sn 1.987 5.322 3.132
Cl -0.639 1.461 1.435
Cl -3.525 5.281 5.992
Cl -3.483 2.072 7.996
Cl -0.597 4.670 3.439
Cl 0.771 9.546 1.562
Cl -2.115 10.682 6.119
Cl -1.056 1.212 4.996
Cl 1.830 5.530 0.439
Cl -1.386 7.955 8.675
Cl 1.500 12.272 4.118
Cl 2.559 2.803 2.995
Cl -0.327 3.939 7.552
Cl 1.041 8.814 5.675
Cl 3.927 11.413 1.118
Cl 3.969 8.204 3.122
Cl 1.083 12.024 7.679

(6)
8
Lattice="-3.152 3.152 5.831 3.152 -3.152 5.831 3.152 3.152 -5.831" Properties=species:S:1:pos:R:3 comment="CoSn2Cl, optimized geometry, DFT PBE" density_g_cm3=4.756 e_form_raw_ev_per_atom=0.0933 total_magnetization_mub_per_fu=0.00 vol_a3_per_cell=232 relative_energy_mev_per_atom=0 pbc="T T T"
Co 0.000 0.000 0.000
Co 0.000 3.152 2.915
Sn 4.728 1.076 -1.458
Sn 1.076 1.576 1.458
Sn -1.576 2.076 4.373
Sn 2.076 1.576 7.288
Cl 3.152 0.000 2.915
Cl 0.000 0.000 5.831

(7)
5
Lattice="5.295 0.000 0.000 0.000 5.295 0.000 0.000 0.000 5.295" Properties=species:S:1:pos:R:3 comment="CoSn3Cl, optimized geometry, DFT PBE" density_g_cm3=5.039 e_form_raw_ev_per_atom=1.0034 total_magnetization_mub_per_fu=2.04 vol_a3_per_cell=148 relative_energy_mev_per_atom=1157 pbc="T T T"
Co 0.000 0.000 0.000
Sn 0.000 2.648 2.648
Sn 2.648 0.000 2.648
Sn 2.648 2.648 0.000
Cl 2.648 2.648 2.648

(8)
4
Lattice="0.000 3.473 3.473 3.473 0.000 3.473 3.473 3.473 0.000" Properties=species:S:1:pos:R:3 comment="CoSn2Cl, optimized geometry, DFT PBE" density_g_cm3=6.575 e_form_raw_ev_per_atom=0.3637 total_magnetization_mub_per_fu=1.01 vol_a3_per_cell=84 relative_energy_mev_per_atom=270 pbc="T T T"
Co 0.000 0.000 0.000
Sn 1.737 1.737 1.737
Sn 5.210 5.210 5.210
Cl 3.473 3.473 3.473

(9)
18
Lattice="6.551 -6.076 0.000 6.551 6.076 0.000 -1.446 0.000 6.555" Properties=species:S:1:pos:R:3 comment="Co2SnCl6, optimized geometry, DFT PBE" density_g_cm3=2.859 e_form_raw_ev_per_atom=-0.6898 total_magnetization_mub_per_fu=6.00 vol_a3_per_cell=522 pbc="T T T"
Co 2.161 0.935 1.894
Co 1.437 -0.935 5.171
Co 10.218 0.935 1.384
Co 9.495 -0.935 4.662
Sn 5.466 1.501 4.916
Sn 6.189 -1.501 1.639
Cl 1.009 0.830 3.844
Cl 3.645 3.275 5.735
Cl 1.732 -0.830 0.566
Cl 4.381 1.057 2.281
Cl 7.288 3.275 4.098
Cl 3.658 -1.057 5.559
Cl 7.998 1.057 0.996
Cl 4.368 -3.275 2.458
Cl 7.275 -1.057 4.274
Cl 9.924 0.830 5.989
Cl 8.011 -3.275 0.820
Cl 10.647 -0.830 2.711

(10)
5
Lattice="5.143 0.000 0.000 0.000 5.143 0.000 0.000 0.000 4.839" Properties=species:S:1:pos:R:3 comment="Tl2CoSnCl, optimized geometry, DFT PBE" density_g_cm3=8.066 e_form_raw_ev_per_atom=-0.2582 total_magnetization_mub_per_fu=0.00 vol_a3_per_cell=128 pbc="T T T"
Tl 0.000 2.572 0.000
Tl 2.572 0.000 0.000
Co 0.000 0.000 0.000
Sn 0.000 0.000 2.420
Cl 2.572 2.572 2.420

(11)
5
Lattice="4.848 0.000 0.000 0.000 4.848 0.000 0.000 0.000 4.773" Properties=species:S:1:pos:R:3 comment="ZnCoSn2Cl, optimized geometry, DFT PBE" density_g_cm3=5.881 e_form_raw_ev_per_atom=-0.2275 total_magnetization_mub_per_fu=0.00 vol_a3_per_cell=112 pbc="T T T"
Zn 0.000 0.000 0.000
Co 0.000 0.000 2.386
Sn 0.000 2.424 2.386
Sn 2.424 0.000 2.386
Cl 2.424 2.424 0.000

(12)
8
Lattice="-3.817 3.817 4.421 3.817 -3.817 4.421 3.817 3.817 -4.421" Properties=species:S:1:pos:R:3 comment="Sr2CoCl, optimized geometry, DFT PBE" density_g_cm3=3.474 e_form_raw_ev_per_atom=-0.3073 total_magnetization_mub_per_fu=0.52 vol_a3_per_cell=258 relative_energy_mev_per_atom=242 pbc="T T T"
Sr 5.726 1.819 -1.105
Sr 1.819 1.909 1.105
Sr -1.909 1.998 3.316
Sr 1.998 1.909 5.527
Co 0.000 0.000 0.000
Co 0.000 3.817 2.211
Cl 3.817 0.000 2.211
Cl 0.000 0.000 4.421

(13)
5
Lattice="5.604 0.000 0.000 0.000 5.604 0.000 0.000 0.000 5.604" Properties=species:S:1:pos:R:3 comment="SrCoCl3, optimized geometry, DFT PBE" density_g_cm3=2.386 e_form_raw_ev_per_atom=-0.7136 total_magnetization_mub_per_fu=2.18 vol_a3_per_cell=176 relative_energy_mev_per_atom=523 pbc="T T T"
Sr 0.000 0.000 0.000
Co 2.802 2.802 2.802
Cl 0.000 0.000 2.802
Cl 0.000 2.802 0.000
Cl 2.802 0.000 0.000